# NdCr4Cu3O12

A geometry-optimized NdCr4Cu3O12 structure (GGA+U, Alexandria via LeMat-Bulk).

## Properties
uncorrected energy = -6.942 eV per atom
total magnetic moment = 12.0 μB per cell
SG = Im-3

a = 6.4353 Å, b = 6.4353 Å, c = 6.4353 Å
α = 109.47°, β = 109.47°, γ = 109.47°
Last column: nearest neighbours and their distance in Å.
Atoms (fractional coordinates):
Nd1 0.0000 0.0000 0.0000  12 O 2.61
Cr1 0.5000 0.0000 0.0000  6 O 2.00
Cr2 0.5000 0.5000 0.5000  6 O 2.00
Cr3 0.0000 0.5000 0.0000  6 O 2.00
Cr4 0.0000 0.0000 0.5000  6 O 2.00
Cu1 0.0000 0.5000 0.5000  4 O 1.89
Cu2 0.5000 0.5000 0.0000  4 O 1.89
Cu3 0.5000 0.0000 0.5000  4 O 1.89
O1 0.3093 0.8322 0.1415  1 Cu 1.89, 2 Cr 2.00
O2 0.6907 0.1678 0.8585  1 Cu 1.89, 2 Cr 2.00
O3 0.6907 0.8322 0.5229  1 Cu 1.89, 2 Cr 2.00
O4 0.8585 0.6907 0.1678  1 Cu 1.89, 2 Cr 2.00
O5 0.8322 0.1415 0.3093  1 Cu 1.89, 2 Cr 2.00
O6 0.1678 0.4771 0.3093  1 Cu 1.89, 2 Cr 2.00
O7 0.4771 0.3093 0.1678  1 Cu 1.89, 2 Cr 2.00
O8 0.1678 0.8585 0.6907  1 Cu 1.89, 2 Cr 2.00
O9 0.3093 0.1678 0.4771  1 Cu 1.89, 2 Cr 2.00
O10 0.1415 0.3093 0.8322  1 Cu 1.89, 2 Cr 2.00
O11 0.8322 0.5229 0.6907  1 Cu 1.89, 2 Cr 2.00
O12 0.5229 0.6907 0.8322  1 Cu 1.89, 2 Cr 2.00